SrCr2SiSe6: optimized geometry, PBE-GGA.

Unit cell a=6.6748 b=6.6748 c=17.7816 alpha=90.00 beta=90.00 gamma=120.00
Space group R3 (No. 146, hexagonal axes)
One atom of each set of equivalent atoms:
Sr 0.0000 0.0000 0.0000 [3 per cell]
Cr 0.0000 0.0000 0.2737 [3 per cell]
Cr 0.0000 0.0000 0.7876 [3 per cell]
Si 0.0000 0.0000 0.4684 [3 per cell]
Se 0.0037 0.3260 0.8706 [9 per cell]
Se 0.0219 0.5889 0.0470 [9 per cell]

Properties
* uncorrected formation energy: -0.62 eV/atom
* crystal system: trigonal